# CaCoHS2 (meta-GGA SCAN, PBEsol geometry)
data_CaCoHS2
_chemical_formula_sum 'Ca1 Co1 H1 S2'
_cell_length_a 4.324
_cell_length_b 4.324
_cell_length_c 3.667
_cell_angle_alpha 90.00
_cell_angle_beta 90.00
_cell_angle_gamma 90.00
_symmetry_space_group_name_H-M 'P 4/m m m'
_symmetry_Int_Tables_number 123
_symmetry_space_group_name_Hall '-P 4 2'
loop_
_atom_site_label
_atom_site_type_symbol
_atom_site_fract_x
_atom_site_fract_y
_atom_site_fract_z
_atom_site_occupancy
Ca1 Ca 0.000 0.000 0.000 1
Co1 Co 0.500 0.500 0.000 1
H1 H 0.000 0.000 0.500 1
S1 S 0.000 0.500 0.500 1
# Raw total energy, eV/cell: -49.63
# Fermi-level density of states, states/eV/atom: 0.54
# Magnetic moment, μB per formula unit: 2.5

=====

# CaYCo2H (meta-GGA SCAN, PBEsol geometry)
data_CaYCo2H
_chemical_formula_sum 'Ca1 Y1 Co2 H1'
_cell_length_a 4.923
_cell_length_b 4.923
_cell_length_c 3.955
_cell_angle_alpha 90.00
_cell_angle_beta 90.00
_cell_angle_gamma 90.00
_symmetry_space_group_name_H-M 'P 4/m m m'
_symmetry_Int_Tables_number 123
_symmetry_space_group_name_Hall '-P 4 2'
loop_
_atom_site_label
_atom_site_type_symbol
_atom_site_fract_x
_atom_site_fract_y
_atom_site_fract_z
_atom_site_occupancy
Ca1 Ca 0.000 0.000 0.000 1
Y1 Y 0.500 0.500 0.500 1
Co1 Co 0.000 0.500 0.500 1
H1 H 0.500 0.500 0.000 1
# Raw total energy, eV/cell: -72.92
# Fermi-level density of states, states/eV/atom: 0.43
# Magnetic moment, μB per formula unit: 3.2

=====

# Ca3HfCo (meta-GGA SCAN, PBEsol geometry)
data_Ca3HfCo
_chemical_formula_sum 'Ca3 Hf1 Co1'
_cell_length_a 5.626
_cell_length_b 5.626
_cell_length_c 5.626
_cell_angle_alpha 90.00
_cell_angle_beta 90.00
_cell_angle_gamma 90.00
_symmetry_space_group_name_H-M 'P m -3 m'
_symmetry_Int_Tables_number 221
_symmetry_space_group_name_Hall '-P 4 2 3'
loop_
_atom_site_label
_atom_site_type_symbol
_atom_site_fract_x
_atom_site_fract_y
_atom_site_fract_z
_atom_site_occupancy
Ca1 Ca 0.000 0.000 0.500 1
Hf1 Hf 0.000 0.000 0.000 1
Co1 Co 0.500 0.500 0.500 1
# Fermi-level density of states, states/eV/atom: 0.91
# Formation energy from the elements, meV per atom: 1547
# Magnetic moment, μB per formula unit: 3.3

=====

# Ca4CoHg (meta-GGA SCAN, PBEsol geometry)
data_Ca4CoHg
_chemical_formula_sum 'Ca16 Co4 Hg4'
_cell_length_a 8.769
_cell_length_b 8.769
_cell_length_c 8.769
_cell_angle_alpha 90.00
_cell_angle_beta 90.00
_cell_angle_gamma 90.00
_symmetry_space_group_name_H-M 'F -4 3 m'
_symmetry_Int_Tables_number 216
_symmetry_space_group_name_Hall 'F -4 2 3'
loop_
_atom_site_label
_atom_site_type_symbol
_atom_site_fract_x
_atom_site_fract_y
_atom_site_fract_z
_atom_site_occupancy
Ca1 Ca 0.125 0.125 0.125 1
Co1 Co 0.250 0.250 0.750 1
Hg1 Hg 0.000 0.000 0.500 1
# Fermi-level density of states, states/eV/atom: 1.26
# Formation energy from the elements, meV per atom: 738
# Magnetic moment, μB per formula unit: 0.9

=====

# Ca2CoHg (meta-GGA SCAN, PBEsol geometry)
data_Ca2CoHg
_chemical_formula_sum 'Ca4 Co2 Hg2'
_cell_length_a 4.320
_cell_length_b 4.320
_cell_length_c 9.335
_cell_angle_alpha 90.00
_cell_angle_beta 90.00
_cell_angle_gamma 90.00
_symmetry_space_group_name_H-M 'I -4 m 2'
_symmetry_Int_Tables_number 119
_symmetry_space_group_name_Hall 'I -4 -2'
loop_
_atom_site_label
_atom_site_type_symbol
_atom_site_fract_x
_atom_site_fract_y
_atom_site_fract_z
_atom_site_occupancy
Ca1 Ca 0.000 0.000 0.000 1
Ca2 Ca 0.000 0.500 0.250 1
Co1 Co 0.000 0.000 0.500 1
Hg1 Hg 0.000 0.500 0.750 1
# Fermi-level density of states, states/eV/atom: 0.54
# Formation energy from the elements, meV per atom: -16
# Magnetic moment, μB per formula unit: 1.7

=====

# CaCoI2N (meta-GGA SCAN, PBEsol geometry)
data_CaCoI2N
_chemical_formula_sum 'Ca1 Co1 I2 N1'
_cell_length_a 5.903
_cell_length_b 5.903
_cell_length_c 4.393
_cell_angle_alpha 90.00
_cell_angle_beta 90.00
_cell_angle_gamma 90.00
_symmetry_space_group_name_H-M 'P 4/m m m'
_symmetry_Int_Tables_number 123
_symmetry_space_group_name_Hall '-P 4 2'
loop_
_atom_site_label
_atom_site_type_symbol
_atom_site_fract_x
_atom_site_fract_y
_atom_site_fract_z
_atom_site_occupancy
Ca1 Ca 0.000 0.000 0.000 1
Co1 Co 0.500 0.500 0.500 1
I1 I 0.000 0.500 0.000 1
N1 N 0.000 0.000 0.500 1
# Raw total energy, eV/cell: -106.74
# Fermi-level density of states, states/eV/atom: 1.09
# Magnetic moment, μB per formula unit: 5.0

=====

# CaCoIN2 (meta-GGA SCAN, PBEsol geometry)
data_CaCoIN2
_chemical_formula_sum 'Ca1 Co1 I1 N2'
_cell_length_a 4.361
_cell_length_b 4.361
_cell_length_c 6.073
_cell_angle_alpha 90.00
_cell_angle_beta 90.00
_cell_angle_gamma 90.00
_symmetry_space_group_name_H-M 'P 4/m m m'
_symmetry_Int_Tables_number 123
_symmetry_space_group_name_Hall '-P 4 2'
loop_
_atom_site_label
_atom_site_type_symbol
_atom_site_fract_x
_atom_site_fract_y
_atom_site_fract_z
_atom_site_occupancy
Ca1 Ca 0.000 0.000 0.000 1
Co1 Co 0.500 0.500 0.500 1
I1 I 0.000 0.000 0.500 1
N1 N 0.000 0.500 0.000 1
# Relative energy among the computed polymorphs, meV per atom: 832.6
# Fermi-level density of states, states/eV/atom: 0.40
# Magnetic moment, μB per formula unit: 6.2

=====

# CaCoIN2 (meta-GGA SCAN, PBEsol geometry)
data_CaCoIN2
_chemical_formula_sum 'Ca1 Co1 I1 N2'
_cell_length_a 3.966
_cell_length_b 3.966
_cell_length_c 5.104
_cell_angle_alpha 90.00
_cell_angle_beta 90.00
_cell_angle_gamma 90.00
_symmetry_space_group_name_H-M 'P 4/m m m'
_symmetry_Int_Tables_number 123
_symmetry_space_group_name_Hall '-P 4 2'
loop_
_atom_site_label
_atom_site_type_symbol
_atom_site_fract_x
_atom_site_fract_y
_atom_site_fract_z
_atom_site_occupancy
Ca1 Ca 0.000 0.000 0.000 1
Co1 Co 0.500 0.500 0.500 1
I1 I 0.500 0.500 0.000 1
N1 N 0.000 0.500 0.500 1
# Relative energy among the computed polymorphs, meV per atom: 0.0
# Fermi-level density of states, states/eV/atom: 0.31
# Magnetic moment, μB per formula unit: 4.0

=====

# CaCo3Ir (meta-GGA SCAN, PBEsol geometry)
data_CaCo3Ir
_chemical_formula_sum 'Ca1 Co3 Ir1'
_cell_length_a 4.202
_cell_length_b 4.202
_cell_length_c 4.202
_cell_angle_alpha 90.00
_cell_angle_beta 90.00
_cell_angle_gamma 90.00
_symmetry_space_group_name_H-M 'P m -3 m'
_symmetry_Int_Tables_number 221
_symmetry_space_group_name_Hall '-P 4 2 3'
loop_
_atom_site_label
_atom_site_type_symbol
_atom_site_fract_x
_atom_site_fract_y
_atom_site_fract_z
_atom_site_occupancy
Ca1 Ca 0.000 0.000 0.000 1
Co1 Co 0.000 0.000 0.500 1
Ir1 Ir 0.500 0.500 0.500 1
# Fermi-level density of states, states/eV/atom: 0.58
# Formation energy from the elements, meV per atom: 2091
# Magnetic moment, μB per formula unit: 5.6

=====

# CaCoIr (meta-GGA SCAN, PBEsol geometry)
data_CaCoIr
_chemical_formula_sum 'Ca2 Co2 Ir2'
_cell_length_a 3.211
_cell_length_b 3.211
_cell_length_c 10.210
_cell_angle_alpha 90.00
_cell_angle_beta 90.00
_cell_angle_gamma 90.00
_symmetry_space_group_name_H-M 'I 4 m m'
_symmetry_Int_Tables_number 107
_symmetry_space_group_name_Hall 'I 4 -2'
loop_
_atom_site_label
_atom_site_type_symbol
_atom_site_fract_x
_atom_site_fract_y
_atom_site_fract_z
_atom_site_occupancy
Ca1 Ca 0.000 0.000 0.000 1
Co1 Co 0.000 0.000 0.714 1
Ir1 Ir 0.000 0.000 0.292 1
# Fermi-level density of states, states/eV/atom: 0.51
# Formation energy from the elements, meV per atom: 21
# Magnetic moment, μB per formula unit: 1.9

=====

# CaCo2Ir2 (meta-GGA SCAN, PBEsol geometry)
data_CaCo2Ir2
_chemical_formula_sum 'Ca2 Co4 Ir4'
_cell_length_a 4.120
_cell_length_b 4.120
_cell_length_c 9.696
_cell_angle_alpha 90.00
_cell_angle_beta 90.00
_cell_angle_gamma 90.00
_symmetry_space_group_name_H-M 'I 4/m m m'
_symmetry_Int_Tables_number 139
_symmetry_space_group_name_Hall '-I 4 2'
loop_
_atom_site_label
_atom_site_type_symbol
_atom_site_fract_x
_atom_site_fract_y
_atom_site_fract_z
_atom_site_occupancy
Ca1 Ca 0.000 0.000 0.000 1
Co1 Co 0.000 0.500 0.250 1
Ir1 Ir 0.000 0.000 0.376 1
# Fermi-level density of states, states/eV/atom: 0.53
# Formation energy from the elements, meV per atom: -101
# Magnetic moment, μB per formula unit: 4.4

=====

# Ca2MnCoIr (meta-GGA SCAN, PBEsol geometry)
data_Ca2MnCoIr
_chemical_formula_sum 'Ca2 Mn1 Co1 Ir1'
_cell_length_a 5.171
_cell_length_b 5.171
_cell_length_c 3.972
_cell_angle_alpha 90.00
_cell_angle_beta 90.00
_cell_angle_gamma 90.00
_symmetry_space_group_name_H-M 'P 4/m m m'
_symmetry_Int_Tables_number 123
_symmetry_space_group_name_Hall '-P 4 2'
loop_
_atom_site_label
_atom_site_type_symbol
_atom_site_fract_x
_atom_site_fract_y
_atom_site_fract_z
_atom_site_occupancy
Ca1 Ca 0.000 0.500 0.000 1
Mn1 Mn 0.000 0.000 0.000 1
Co1 Co 0.000 0.000 0.500 1
Ir1 Ir 0.500 0.500 0.500 1
# Fermi-level density of states, states/eV/atom: 0.56
# Formation energy from the elements, meV per atom: 968
# Magnetic moment, μB per formula unit: 4.9